Entry 1:
Below is a relaxed structure of Mo3Os3C2, with properties calculated at the PBE-GGA level. Values from VASP.

Output
total moment: 0.000 Bohr magnetons per cell
DFT formation energy: 0.168 eV/atom
space group: P-3m1, No. 164
crystal system: trigonal

Geometry as Quantum ESPRESSO input:
```
&SYSTEM
  ibrav = 0, nat = 8, ntyp = 3
/
ATOMIC_SPECIES
Mo 95.94 Mo.upf
Os 190.23 Os.upf
C 12.01 C.upf
ATOMIC_POSITIONS crystal
Mo 0.333 0.667 0.812
Mo 0.000 0.000 0.000
Mo 0.667 0.333 0.188
Os 0.000 0.000 0.500
Os 0.667 0.333 0.653
Os 0.333 0.667 0.347
C 0.667 0.333 0.902
C 0.333 0.667 0.098
CELL_PARAMETERS angstrom
1.440 -2.494 0.000
1.440 2.494 0.000
0.000 0.000 14.171
```

=====

Entry 2:
Below is a relaxed structure of Tl23HgSb6, with properties calculated at the PBE-GGA level. Values from VASP.

Output
total moment: 0.000 Bohr magnetons per cell
energy relative to the elements, uncorrected: 0.025 eV per atom
space group: I4/mmm, No. 139
crystal system: tetragonal

Geometry as Quantum ESPRESSO input:
```
&SYSTEM
  ibrav = 0, nat = 30, ntyp = 3
/
ATOMIC_SPECIES
Tl 204.38 Tl.upf
Sb 121.76 Sb.upf
Hg 200.59 Hg.upf
ATOMIC_POSITIONS crystal
Tl 0.871 0.868 0.390
Tl 0.622 0.624 0.131
Tl 0.500 0.500 0.000
Tl 0.131 0.622 0.622
Tl 0.610 0.129 0.129
Tl 0.132 0.129 0.129
Tl 0.000 0.500 0.000
Tl 0.000 0.000 0.000
Tl 0.622 0.131 0.624
Tl 0.871 0.390 0.868
Tl 0.390 0.871 0.871
Tl 0.129 0.610 0.132
Tl 0.378 0.376 0.869
Tl 0.625 0.622 0.622
Tl 0.868 0.871 0.871
Tl 0.500 0.000 0.500
Tl 0.000 0.500 0.500
Tl 0.000 0.000 0.500
Tl 0.378 0.869 0.376
Tl 0.869 0.378 0.378
Tl 0.129 0.132 0.610
Tl 0.375 0.378 0.378
Tl 0.500 0.000 0.000
Sb 0.760 0.240 0.240
Sb 0.240 0.760 0.240
Sb 0.760 0.760 0.240
Sb 0.760 0.240 0.760
Sb 0.240 0.760 0.760
Sb 0.240 0.240 0.760
Hg 0.500 0.500 0.500
CELL_PARAMETERS angstrom
4.119 -1.676 9.327
8.642 -7.717 0.523
11.321 2.244 1.125
```

=====

Entry 3:
Below is a relaxed structure of NbBiTeN2, with properties calculated at the PBE-GGA level. Values from VASP.

Output
total moment: 0.000 Bohr magnetons per cell
energy relative to the elements, uncorrected: 0.504 eV per atom
offset from the most stable computed form: 0.000 eV per atom
space group: P4/mmm, No. 123
crystal system: tetragonal

Geometry as Quantum ESPRESSO input:
```
&SYSTEM
  ibrav = 0, nat = 5, ntyp = 4
/
ATOMIC_SPECIES
N 14.01 N.upf
Bi 208.98 Bi.upf
Nb 92.91 Nb.upf
Te 127.60 Te.upf
ATOMIC_POSITIONS crystal
N 0.500 0.000 0.000
N 0.000 0.500 0.000
Bi 0.500 0.500 0.500
Nb 0.000 0.000 0.000
Te 0.000 0.000 0.500
CELL_PARAMETERS angstrom
-3.165 1.523 2.318
2.167 -0.837 3.509
2.346 5.193 -0.210
```

=====

Entry 4:
Below is a relaxed structure of ErMgSe2, with properties calculated at the PBE-GGA level. Values from VASP.

Output
total moment: 0.791 Bohr magnetons per cell
energy relative to the elements, uncorrected: -1.417 eV per atom
offset from the most stable computed form: 0.000 eV per atom
space group: R3m, No. 160
crystal system: trigonal

Geometry as Quantum ESPRESSO input:
```
&SYSTEM
  ibrav = 0, nat = 4, ntyp = 3
/
ATOMIC_SPECIES
Se 78.96 Se.upf
Er 167.26 Er.upf
Mg 24.30 Mg.upf
ATOMIC_POSITIONS crystal
Se 0.076 0.076 0.771
Se 0.256 0.256 0.233
Er 0.500 0.500 0.499
Mg 0.668 0.668 0.997
CELL_PARAMETERS angstrom
3.876 0.000 0.000
1.938 3.357 0.000
1.938 1.119 6.901
```